# Y3Ho3Au4

A geometry-optimized Y3Ho3Au4 structure (PBE-GGA, Alexandria).

## Properties
The value obtained for the total energy is -5.330 eV per atom. For the density of states at the Fermi level, the calculation gives 1.445 states/eV/atom. For the calculated volume, the calculation gives 253 Å³/cell. As for the calculated density: 10.15 g/cm³.

a b c (Å): 3.8260 8.1383 8.1383
angles (deg): 90.29 90.00 90.00
Sites, in units of the cell vectors:
Y1 0.0000 0.0000 0.0000
Y2 0.0000 0.4999 0.8246
Y3 0.0000 0.8246 0.4999
Ho1 0.0000 0.3243 0.3243
Ho2 0.5000 0.1627 0.6615
Ho3 0.5000 0.6615 0.1627
Au1 0.5000 0.0307 0.2968
Au2 0.5000 0.2968 0.0307
Au3 0.5000 0.5267 0.5267
Au4 0.5000 0.7960 0.7960

# NiRh2Br

A geometry-optimized NiRh2Br structure (PBE-GGA, Alexandria).

## Properties
The calculation puts the energy above the lowest structure with this stoichiometry at 124 meV per atom. For the density of states at the Fermi level, the calculation gives 1.837 states/eV/atom. For the calculated volume, the calculation gives 61 Å³/cell. As for the energy relative to the elements, uncorrected: 0.48 eV per atom. As for the calculated density: 9.41 g/cm³.

a b c (Å): 8.2786 8.2786 8.2786
angles (deg): 20.47 20.47 20.47
Sites, in units of the cell vectors:
Ni1 0.0000 0.0000 0.0000
Rh1 0.4987 0.4987 0.4987
Rh2 0.7463 0.7463 0.7463
Br1 0.2573 0.2573 0.2573